## BaNdMnCoO6 (PBE with a Hubbard U)

Data for a relaxed BaNdMnCoO6 crystal.

Unit cell a=5.553 b=5.553 c=7.834 alpha=90.00 beta=90.00 gamma=90.24
Element x y z (fractional)
Ba 0.753 0.247 0.006
Ba 0.247 0.753 0.006
Nd 0.761 0.239 0.494
Nd 0.239 0.761 0.494
Mn 0.748 0.748 0.747
Mn 0.252 0.252 0.747
Co 0.252 0.252 0.256
Co 0.748 0.748 0.256
O 0.265 0.265 0.995
O 0.735 0.735 0.995
O 0.500 0.500 0.300
O 0.500 0.500 0.701
O 0.000 0.000 0.252
O 0.000 0.000 0.751
O 0.000 0.500 0.277
O 0.500 0.000 0.722
O 0.000 0.500 0.722
O 0.500 0.000 0.277
O 0.211 0.211 0.501
O 0.789 0.789 0.501

Computed properties:
The calculation puts the density of states at the Fermi level at 2.00 states/eV/f.u. The final energy is -6.97 eV/atom.